Entry 1:
VASP calculation (PBE) on a geometry-optimized PmEr2ThP4 structure.

a = 4.0617 Å, b = 7.0008 Å, c = 7.0278 Å
α = 70.50°, β = 90.00°, γ = 90.00°
Fractional positions:
P  0.0000  0.2408  0.2543
P  0.5000  0.7596  0.2474
P  0.5000  0.2404  0.7526
P  0.0000  0.7593  0.7457
Pm  0.5000  0.5000  0.0000
Er  0.0000  0.0000  0.0000
Er  0.5000  0.0000  0.5000
Th  0.0000  0.5000  0.5000

Summary:
Formation energy (eV per atom): -1.599
Raw total energy (eV per atom): -6.966
Calculated volume (Å³/cell): 188.4


Entry 2:
VASP calculation (PBE) on a geometry-optimized SmPtPb2O6 structure.

a = 5.8877 Å, b = 5.9663 Å, c = 8.3730 Å
α = 90.00°, β = 90.07°, γ = 90.00°
Fractional positions:
O  0.4060  0.9725  0.7312
O  0.2741  0.6905  0.0497
O  0.8180  0.7793  0.9543
O  0.2259  0.1905  0.4503
O  0.5940  0.0275  0.2688
O  0.0940  0.4725  0.7688
O  0.1820  0.2207  0.0457
O  0.7741  0.8095  0.5497
O  0.6820  0.2793  0.5457
O  0.3180  0.7207  0.4543
O  0.7259  0.3095  0.9503
O  0.9060  0.5275  0.2312
Pt  0.0000  0.5000  0.0000
Pt  0.5000  0.0000  0.5000
Pb  0.9916  0.0377  0.7527
Pb  0.0084  0.9623  0.2473
Pb  0.4916  0.4623  0.2527
Pb  0.5084  0.5377  0.7473
Sm  0.0000  0.5000  0.5000
Sm  0.5000  0.0000  0.0000

Summary:
Uncorrected formation energy (eV/atom): -1.4417
Raw total energy (eV per atom): -6.234
Calculated volume (Å³/cell): 294.1


Entry 3:
VASP calculation (PBE) on a geometry-optimized In2PbAu structure.

a = 5.4366 Å, b = 5.4366 Å, c = 5.8537 Å
α = 64.67°, β = 64.67°, γ = 44.12°
Fractional positions:
In  0.9523  0.9523  0.1195
In  0.7510  0.7510  0.7651
Pb  0.5442  0.5442  0.5075
Au  0.2525  0.2525  0.1079

Summary:
Formation energy (eV per atom): -0.061
Raw total energy (eV per atom): -3.176
Calculated volume (Å³/cell): 106.8


Which value of raw total energy does entry 3 give? -3.176 eV per atom


Look up the calculated volume of the third one. 106.8 Å³/cell


Copy entry 1 word for word.
VASP calculation (PBE) on a geometry-optimized PmEr2ThP4 structure.

a = 4.0617 Å, b = 7.0008 Å, c = 7.0278 Å
α = 70.50°, β = 90.00°, γ = 90.00°
Fractional positions:
P  0.0000  0.2408  0.2543
P  0.5000  0.7596  0.2474
P  0.5000  0.2404  0.7526
P  0.0000  0.7593  0.7457
Pm  0.5000  0.5000  0.0000
Er  0.0000  0.0000  0.0000
Er  0.5000  0.0000  0.5000
Th  0.0000  0.5000  0.5000

Summary:
Formation energy (eV per atom): -1.599
Raw total energy (eV per atom): -6.966
Calculated volume (Å³/cell): 188.4